# ZnBr2O8, relaxed, DFT GGA-PBE
data_ZnBr2O8
_cell_length_a 4.9551
_cell_length_b 4.9551
_cell_length_c 6.7309
_cell_angle_alpha 90.00
_cell_angle_beta 90.00
_cell_angle_gamma 120.00
_symmetry_space_group_name_H-M 'P -3'
_symmetry_Int_Tables_number 147
loop_
_symmetry_equiv_pos_as_xyz
'x,y,z'
'-x,-y,-z'
'-y,x-y,z'
'y,-x+y,-z'
'-x+y,-x,z'
'x-y,x,-z'
loop_
_atom_site_label
_atom_site_fract_x
_atom_site_fract_y
_atom_site_fract_z
_atom_site_occupancy
Zn1 0.0000 0.0000 0.0000 1
Br1 0.3333 0.6667 0.7322 1
O1 0.0255 0.6792 0.8191 1
O2 0.3333 0.6667 0.4935 1
# Energy above the lowest structure with this stoichiometry in eV/atom: 0.000



# ZnBr2O6, relaxed, DFT GGA-PBE
data_ZnBr2O6
_cell_length_a 7.396
_cell_length_b 11.191
_cell_length_c 3.516
_cell_angle_alpha 90.00
_cell_angle_beta 91.43
_cell_angle_gamma 90.00
_symmetry_space_group_name_H-M 'C 1 2/m 1'
_symmetry_Int_Tables_number 12
loop_
_symmetry_equiv_pos_as_xyz
'x,y,z'
'-x,-y,-z'
'-x,y,-z'
'x,-y,z'
'x+1/2,y+1/2,z'
'-x+1/2,-y+1/2,-z'
'-x+1/2,y+1/2,-z'
'x+1/2,-y+1/2,z'
loop_
_atom_site_label
_atom_site_fract_x
_atom_site_fract_y
_atom_site_fract_z
_atom_site_occupancy
Zn1 0.000 0.000 0.000 1
Br1 0.000 0.157 0.500 1
O1 0.089 0.397 0.079 1
O2 0.175 0.500 0.894 1
# Energy above the lowest structure with this stoichiometry in eV/atom: 0.000



# Zn3Br2O2, relaxed, DFT GGA-PBE
data_Zn3Br2O2
_cell_length_a 6.169
_cell_length_b 6.269
_cell_length_c 6.415
_cell_angle_alpha 90.00
_cell_angle_beta 116.26
_cell_angle_gamma 90.00
_symmetry_space_group_name_H-M 'P 1 21/c 1'
_symmetry_Int_Tables_number 14
loop_
_symmetry_equiv_pos_as_xyz
'x,y,z'
'-x,-y,-z'
'-x,y+1/2,-z+1/2'
'x,-y+1/2,z+1/2'
loop_
_atom_site_label
_atom_site_fract_x
_atom_site_fract_y
_atom_site_fract_z
_atom_site_occupancy
Zn1 0.000 0.000 0.000 1
Zn2 0.422 0.148 0.802 1
Br1 0.190 0.627 0.934 1
O1 0.333 0.112 0.072 1
# E in eV for the cell shown: -48.65



# ZnBr2O8, relaxed, DFT GGA-PBE
data_ZnBr2O8
_cell_length_a 4.8408
_cell_length_b 4.8408
_cell_length_c 20.8906
_cell_angle_alpha 90.00
_cell_angle_beta 90.00
_cell_angle_gamma 120.00
_symmetry_space_group_name_H-M 'R -3'
_symmetry_Int_Tables_number 148
_symmetry_space_group_name_Hall '-R 3'
loop_
_atom_site_label
_atom_site_fract_x
_atom_site_fract_y
_atom_site_fract_z
_atom_site_occupancy
Zn1 0.0000 0.0000 0.0000 1
Br1 0.0000 0.0000 0.2456 1
O1 0.0000 0.0000 0.1687 1
O2 0.0081 0.6589 0.9406 1
# Energy above the lowest structure with this stoichiometry in eV/atom: 0.005



# Os3Br2, relaxed, DFT GGA-PBE
data_Os3Br2
_cell_length_a 6.6389
_cell_length_b 6.6389
_cell_length_c 13.5091
_cell_angle_alpha 90.00
_cell_angle_beta 90.00
_cell_angle_gamma 120.00
_symmetry_space_group_name_H-M 'R -3 c'
_symmetry_Int_Tables_number 167
_symmetry_space_group_name_Hall '-R 3 2"c'
loop_
_atom_site_label
_atom_site_fract_x
_atom_site_fract_y
_atom_site_fract_z
_atom_site_occupancy
Os1 0.0000 0.2468 0.2500 1
Br1 0.0000 0.0000 0.1079 1
# E in eV for the cell shown: -162.99



# OsBr, relaxed, DFT GGA-PBE
data_OsBr
_cell_length_a 5.270
_cell_length_b 5.270
_cell_length_c 5.270
_cell_angle_alpha 90.00
_cell_angle_beta 90.00
_cell_angle_gamma 90.00
_symmetry_space_group_name_H-M 'F m -3 m'
_symmetry_Int_Tables_number 225
_symmetry_space_group_name_Hall '-F 4 2 3'
loop_
_atom_site_label
_atom_site_fract_x
_atom_site_fract_y
_atom_site_fract_z
_atom_site_occupancy
Os1 0.000 0.000 0.000 1
Br1 0.000 0.000 0.500 1
# Energy above the lowest structure with this stoichiometry in eV/atom: 0.572



# OsBr, relaxed, DFT GGA-PBE
data_OsBr
_cell_length_a 2.9730
_cell_length_b 2.9730
_cell_length_c 4.4007
_cell_angle_alpha 90.00
_cell_angle_beta 90.00
_cell_angle_gamma 120.00
_symmetry_space_group_name_H-M 'P -6 m 2'
_symmetry_Int_Tables_number 187
_symmetry_space_group_name_Hall 'P -6 2'
loop_
_atom_site_label
_atom_site_fract_x
_atom_site_fract_y
_atom_site_fract_z
_atom_site_occupancy
Os1 0.0000 0.0000 0.0000 1
Br1 0.3333 0.6667 0.5000 1
# Energy above the lowest structure with this stoichiometry in eV/atom: 0.019



# OsBr, relaxed, DFT GGA-PBE
data_OsBr
_cell_length_a 5.619
_cell_length_b 5.619
_cell_length_c 5.619
_cell_angle_alpha 90.00
_cell_angle_beta 90.00
_cell_angle_gamma 90.00
_symmetry_space_group_name_H-M 'F -4 3 m'
_symmetry_Int_Tables_number 216
_symmetry_space_group_name_Hall 'F -4 2 3'
loop_
_atom_site_label
_atom_site_fract_x
_atom_site_fract_y
_atom_site_fract_z
_atom_site_occupancy
Os1 0.000 0.000 0.000 1
Br1 0.250 0.250 0.250 1
# Energy above the lowest structure with this stoichiometry in eV/atom: 0.329



# OsBr, relaxed, DFT GGA-PBE
data_OsBr
_cell_length_a 4.2731
_cell_length_b 4.2731
_cell_length_c 4.9990
_cell_angle_alpha 90.00
_cell_angle_beta 90.00
_cell_angle_gamma 120.00
_symmetry_space_group_name_H-M 'P 63/m m c'
_symmetry_Int_Tables_number 194
_symmetry_space_group_name_Hall '-P 6c 2c'
loop_
_atom_site_label
_atom_site_fract_x
_atom_site_fract_y
_atom_site_fract_z
_atom_site_occupancy
Os1 0.0000 0.0000 0.0000 1
Br1 0.3333 0.6667 0.2500 1
# Energy above the lowest structure with this stoichiometry in eV/atom: 0.000



# Pm4OsBr5, relaxed, DFT GGA-PBE
data_Pm4OsBr5
_cell_length_a 18.721
_cell_length_b 4.128
_cell_length_c 8.881
_cell_angle_alpha 90.00
_cell_angle_beta 104.47
_cell_angle_gamma 90.00
_symmetry_space_group_name_H-M 'C 1 2/m 1'
_symmetry_Int_Tables_number 12
loop_
_symmetry_equiv_pos_as_xyz
'x,y,z'
'-x,-y,-z'
'-x,y,-z'
'x,-y,z'
'x+1/2,y+1/2,z'
'-x+1/2,-y+1/2,-z'
'-x+1/2,y+1/2,-z'
'x+1/2,-y+1/2,z'
loop_
_atom_site_label
_atom_site_fract_x
_atom_site_fract_y
_atom_site_fract_z
_atom_site_occupancy
Pm1 0.001 0.000 0.222 1
Pm2 0.147 0.500 0.082 1
Os1 0.000 0.500 0.000 1
Br1 0.000 0.500 0.500 1
Br2 0.169 0.000 0.333 1
Br3 0.172 0.000 0.849 1
# E in eV for the cell shown: -104.08



# PmOsBr, relaxed, DFT GGA-PBE
data_PmOsBr
_cell_length_a 4.2097
_cell_length_b 4.2097
_cell_length_c 34.4524
_cell_angle_alpha 90.00
_cell_angle_beta 90.00
_cell_angle_gamma 120.00
_symmetry_space_group_name_H-M 'R -3 m'
_symmetry_Int_Tables_number 166
_symmetry_space_group_name_Hall '-R 3 2"'
loop_
_atom_site_label
_atom_site_fract_x
_atom_site_fract_y
_atom_site_fract_z
_atom_site_occupancy
Pm1 0.0000 0.0000 0.0602 1
Os1 0.0000 0.0000 0.3371 1
Br1 0.0000 0.0000 0.2190 1
# E in eV for the cell shown: -123.23



# RbOsBr6, relaxed, DFT GGA-PBE
data_RbOsBr6
_cell_length_a 8.416
_cell_length_b 10.443
_cell_length_c 6.720
_cell_angle_alpha 90.00
_cell_angle_beta 110.07
_cell_angle_gamma 90.00
_symmetry_space_group_name_H-M 'C 1 2/m 1'
_symmetry_Int_Tables_number 12
loop_
_symmetry_equiv_pos_as_xyz
'x,y,z'
'-x,-y,-z'
'-x,y,-z'
'x,-y,z'
'x+1/2,y+1/2,z'
'-x+1/2,-y+1/2,-z'
'-x+1/2,y+1/2,-z'
'x+1/2,-y+1/2,z'
loop_
_atom_site_label
_atom_site_fract_x
_atom_site_fract_y
_atom_site_fract_z
_atom_site_occupancy
Rb1 0.000 0.000 0.000 1
Os1 0.000 0.500 0.500 1
Br1 0.108 0.332 0.775 1
Br2 0.225 0.000 0.560 1
# E in eV for the cell shown: -52.92



# Rb3Os2Br9, relaxed, DFT GGA-PBE
data_Rb3Os2Br9
_cell_length_a 7.4658
_cell_length_b 7.4658
_cell_length_c 18.1399
_cell_angle_alpha 90.00
_cell_angle_beta 90.00
_cell_angle_gamma 120.00
_symmetry_space_group_name_H-M 'P 63/m m c'
_symmetry_Int_Tables_number 194
_symmetry_space_group_name_Hall '-P 6c 2c'
loop_
_atom_site_label
_atom_site_fract_x
_atom_site_fract_y
_atom_site_fract_z
_atom_site_occupancy
Rb1 0.0000 0.0000 0.2500 1
Rb2 0.3333 0.6667 0.0672 1
Os1 0.3333 0.6667 0.6751 1
Br1 0.9995 0.4998 0.2500 1
Br2 0.1756 0.3512 0.5939 1
# E in eV for the cell shown: -103.20



# Sb3Os3Br2, relaxed, DFT GGA-PBE
data_Sb3Os3Br2
_cell_length_a 5.5376
_cell_length_b 5.5376
_cell_length_c 20.0217
_cell_angle_alpha 90.00
_cell_angle_beta 90.00
_cell_angle_gamma 120.00
_symmetry_space_group_name_H-M 'R -3 m'
_symmetry_Int_Tables_number 166
_symmetry_space_group_name_Hall '-R 3 2"'
loop_
_atom_site_label
_atom_site_fract_x
_atom_site_fract_y
_atom_site_fract_z
_atom_site_occupancy
Sb1 0.0000 0.0000 0.0000 1
Sb2 0.0000 0.0000 0.4292 1
Os1 0.0000 0.5000 0.5000 1
Br1 0.0000 0.0000 0.2628 1
# E in eV for the cell shown: -123.68



# OsSeBr, relaxed, DFT GGA-PBE
data_OsSeBr
_cell_length_a 4.0025
_cell_length_b 4.0025
_cell_length_c 18.7182
_cell_angle_alpha 90.00
_cell_angle_beta 90.00
_cell_angle_gamma 120.00
_symmetry_space_group_name_H-M 'R 3 m'
_symmetry_Int_Tables_number 160
_symmetry_space_group_name_Hall 'R 3 -2"'
loop_
_atom_site_label
_atom_site_fract_x
_atom_site_fract_y
_atom_site_fract_z
_atom_site_occupancy
Os1 0.0000 0.0000 0.0000 1
Se1 0.0000 0.0000 0.1205 1
Br1 0.0000 0.0000 0.2935 1
# E in eV for the cell shown: -39.97



# Sm4OsBr5, relaxed, DFT GGA-PBE
data_Sm4OsBr5
_cell_length_a 18.691
_cell_length_b 4.102
_cell_length_c 8.839
_cell_angle_alpha 90.00
_cell_angle_beta 104.17
_cell_angle_gamma 90.00
_symmetry_space_group_name_H-M 'C 1 2/m 1'
_symmetry_Int_Tables_number 12
loop_
_symmetry_equiv_pos_as_xyz
'x,y,z'
'-x,-y,-z'
'-x,y,-z'
'x,-y,z'
'x+1/2,y+1/2,z'
'-x+1/2,-y+1/2,-z'
'-x+1/2,y+1/2,-z'
'x+1/2,-y+1/2,z'
loop_
_atom_site_label
_atom_site_fract_x
_atom_site_fract_y
_atom_site_fract_z
_atom_site_occupancy
Sm1 0.001 0.000 0.221 1
Sm2 0.147 0.500 0.082 1
Os1 0.000 0.500 0.000 1
Br1 0.000 0.500 0.500 1
Br2 0.169 0.000 0.333 1
Br3 0.173 0.000 0.848 1
# E in eV for the cell shown: -103.70



# SnOsBr3, relaxed, DFT GGA-PBE
data_SnOsBr3
_cell_length_a 6.897
_cell_length_b 9.892
_cell_length_c 7.381
_cell_angle_alpha 90.00
_cell_angle_beta 90.00
_cell_angle_gamma 90.00
_symmetry_space_group_name_H-M 'I m m a'
_symmetry_Int_Tables_number 74
_symmetry_space_group_name_Hall '-I 2b 2'
loop_
_atom_site_label
_atom_site_fract_x
_atom_site_fract_y
_atom_site_fract_z
_atom_site_occupancy
Sn1 0.000 0.250 0.018 1
Os1 0.000 0.000 0.500 1
Br1 0.000 0.250 0.603 1
Br2 0.250 0.061 0.250 1
# E in eV for the cell shown: -74.12



# Tc3OsBr, relaxed, DFT GGA-PBE
data_Tc3OsBr
_cell_length_a 4.458
_cell_length_b 4.458
_cell_length_c 4.458
_cell_angle_alpha 90.00
_cell_angle_beta 90.00
_cell_angle_gamma 90.00
_symmetry_space_group_name_H-M 'P m -3 m'
_symmetry_Int_Tables_number 221
_symmetry_space_group_name_Hall '-P 4 2 3'
loop_
_atom_site_label
_atom_site_fract_x
_atom_site_fract_y
_atom_site_fract_z
_atom_site_occupancy
Tc1 0.000 0.000 0.500 1
Os1 0.500 0.500 0.500 1
Br1 0.000 0.000 0.000 1
# E in eV for the cell shown: -33.83



# Tl2OsBr6, relaxed, DFT GGA-PBE
data_Tl2OsBr6
_cell_length_a 12.622
_cell_length_b 7.295
_cell_length_c 6.390
_cell_angle_alpha 90.00
_cell_angle_beta 91.01
_cell_angle_gamma 90.00
_symmetry_space_group_name_H-M 'C 1 2/m 1'
_symmetry_Int_Tables_number 12
loop_
_symmetry_equiv_pos_as_xyz
'x,y,z'
'-x,-y,-z'
'-x,y,-z'
'x,-y,z'
'x+1/2,y+1/2,z'
'-x+1/2,-y+1/2,-z'
'-x+1/2,y+1/2,-z'
'x+1/2,-y+1/2,z'
loop_
_atom_site_label
_atom_site_fract_x
_atom_site_fract_y
_atom_site_fract_z
_atom_site_occupancy
Tl1 0.169 0.000 0.166 1
Os1 0.000 0.500 0.000 1
Br1 0.079 0.258 0.775 1
Br2 0.163 0.500 0.227 1
# Energy above the lowest structure with this stoichiometry in eV/atom: 0.017



# Tl2OsBr6, relaxed, DFT GGA-PBE
data_Tl2OsBr6
_cell_length_a 10.218
_cell_length_b 10.218
_cell_length_c 10.218
_cell_angle_alpha 90.00
_cell_angle_beta 90.00
_cell_angle_gamma 90.00
_symmetry_space_group_name_H-M 'F m -3 m'
_symmetry_Int_Tables_number 225
_symmetry_space_group_name_Hall '-F 4 2 3'
loop_
_atom_site_label
_atom_site_fract_x
_atom_site_fract_y
_atom_site_fract_z
_atom_site_occupancy
Tl1 0.250 0.250 0.250 1
Os1 0.000 0.000 0.000 1
Br1 0.000 0.000 0.243 1
# Energy above the lowest structure with this stoichiometry in eV/atom: 0.011



# Tl2OsBr6, relaxed, DFT GGA-PBE
data_Tl2OsBr6
_cell_length_a 7.184
_cell_length_b 7.184
_cell_length_c 10.809
_cell_angle_alpha 90.00
_cell_angle_beta 90.00
_cell_angle_gamma 90.00
_symmetry_space_group_name_H-M 'P 4/m n c'
_symmetry_Int_Tables_number 128
_symmetry_space_group_name_Hall '-P 4 2n'
loop_
_atom_site_label
_atom_site_fract_x
_atom_site_fract_y
_atom_site_fract_z
_atom_site_occupancy
Tl1 0.000 0.500 0.250 1
Os1 0.000 0.000 0.000 1
Br1 0.000 0.000 0.232 1
Br2 0.196 0.287 0.000 1
# Energy above the lowest structure with this stoichiometry in eV/atom: 0.000



# ZnOsBr6, relaxed, DFT GGA-PBE
data_ZnOsBr6
_cell_length_a 6.462
_cell_length_b 6.463
_cell_length_c 6.891
_cell_angle_alpha 90.01
_cell_angle_beta 117.91
_cell_angle_gamma 119.98
_symmetry_space_group_name_H-M 'P -1'
_symmetry_Int_Tables_number 2
loop_
_symmetry_equiv_pos_as_xyz
'x,y,z'
'-x,-y,-z'
loop_
_atom_site_label
_atom_site_fract_x
_atom_site_fract_y
_atom_site_fract_z
_atom_site_occupancy
Zn1 0.000 0.000 0.000 1
Os1 0.000 0.500 0.500 1
Br1 0.159 0.424 0.254 1
Br2 0.170 0.265 0.745 1
Br3 0.480 0.904 0.745 1
# E in eV for the cell shown: -24.59



# TbPPbBr2, relaxed, DFT GGA-PBE
data_TbPPbBr2
_cell_length_a 4.1694
_cell_length_b 4.1694
_cell_length_c 10.8875
_cell_angle_alpha 90.00
_cell_angle_beta 90.00
_cell_angle_gamma 120.00
_symmetry_space_group_name_H-M 'P 3 m 1'
_symmetry_Int_Tables_number 156
loop_
_symmetry_equiv_pos_as_xyz
'x,y,z'
'-y,x-y,z'
'-x+y,-x,z'
'-y,-x,z'
'-x+y,y,z'
'x,x-y,z'
loop_
_atom_site_label
_atom_site_fract_x
_atom_site_fract_y
_atom_site_fract_z
_atom_site_occupancy
Tb1 0.0000 0.0000 0.0000 1
P1 0.6667 0.3333 0.8714 1
Pb1 0.3333 0.6667 0.6974 1
Br1 0.0000 0.0000 0.5234 1
Br2 0.3333 0.6667 0.1627 1
# E in eV for the cell shown: -22.84



# Pm2PBr, relaxed, DFT GGA-PBE
data_Pm2PBr
_cell_length_a 4.1476
_cell_length_b 4.1476
_cell_length_c 21.6891
_cell_angle_alpha 90.00
_cell_angle_beta 90.00
_cell_angle_gamma 120.00
_symmetry_space_group_name_H-M 'R -3 m'
_symmetry_Int_Tables_number 166
_symmetry_space_group_name_Hall '-R 3 2"'
loop_
_atom_site_label
_atom_site_fract_x
_atom_site_fract_y
_atom_site_fract_z
_atom_site_occupancy
Pm1 0.0000 0.0000 0.2331 1
P1 0.0000 0.0000 0.5000 1
Br1 0.0000 0.0000 0.0000 1
# E in eV for the cell shown: -67.80